1.
Density functional theory data (PBE-GGA) for an optimized crystal structure of K2TeAs.

Values from the calculation:
As for the symmetry: I4/mmm, No. 139. The uncorrected formation energy is -407 meV/atom. As for the excess energy over the best structure of this formula in the dataset: 138 meV per atom.

a = 6.168 Å, b = 6.168 Å, c = 6.168 Å
α = 134.14°, β = 134.12°, γ = 66.88°
Fractional coordinates of all 4 atoms:
Te (0.750, 0.250, 0.500)
K (0.500, 0.500, 0.000)
K (0.000, 0.000, 0.000)
As (0.250, 0.750, 0.500)

***

2.
Density functional theory data (PBE-GGA) for an optimized crystal structure of Nd5Y12Er2.

Values from the calculation:
As for the symmetry: C2/m, No. 12. As for the excess energy over the best structure of this formula in the dataset: 155 meV per atom. As for the energy of formation from the pure elements: 210.1 meV per atom.

a = 9.188 Å, b = 10.040 Å, c = 8.724 Å
α = 67.09°, β = 90.00°, γ = 117.23°
Fractional coordinates of all 19 atoms:
Nd (0.000, 0.000, 0.500)
Er (0.672, 0.000, 0.000)
Nd (0.763, 0.526, 0.295)
Y (0.438, 0.876, 0.720)
Nd (0.288, 0.577, 0.225)
Nd (0.712, 0.423, 0.775)
Y (0.149, 0.745, 0.456)
Y (0.596, 0.745, 0.456)
Y (0.404, 0.255, 0.544)
Y (0.961, 0.291, 0.091)
Y (0.955, 0.909, 0.182)
Y (0.670, 0.709, 0.909)
Y (0.330, 0.291, 0.091)
Y (0.851, 0.255, 0.544)
Y (0.045, 0.091, 0.818)
Y (0.562, 0.124, 0.280)
Y (0.039, 0.709, 0.909)
Nd (0.237, 0.474, 0.705)
Er (0.328, 0.000, 0.000)

***

3.
Density functional theory data (PBE-GGA) for an optimized crystal structure of Y2BeCo2.

Values from the calculation:
As for the symmetry: P4/mbm, No. 127. As for the excess energy over the best structure of this formula in the dataset: 166 meV per atom. As for the energy of formation from the pure elements: -32.7 meV per atom.

a = 6.490 Å, b = 6.490 Å, c = 4.135 Å
α = 90.00°, β = 90.00°, γ = 90.00°
Fractional coordinates of all 10 atoms:
Be (0.500, 0.500, 0.000)
Y (0.818, 0.318, 0.500)
Y (0.318, 0.182, 0.500)
Co (0.623, 0.123, 0.000)
Y (0.682, 0.818, 0.500)
Co (0.877, 0.623, 0.000)
Co (0.123, 0.377, 0.000)
Y (0.182, 0.682, 0.500)
Co (0.377, 0.877, 0.000)
Be (0.000, 0.000, 0.000)

***

4.
Density functional theory data (PBE-GGA) for an optimized crystal structure of SrBi12Pt4.

Values from the calculation:
As for the symmetry: Im-3, No. 204. As for the energy of formation from the pure elements: -269.5 meV per atom.

a = 8.709 Å, b = 8.709 Å, c = 8.709 Å
α = 109.47°, β = 109.47°, γ = 109.47°
Fractional coordinates of all 17 atoms:
Bi (0.502, 0.841, 0.662)
Pt (0.500, 0.000, 0.000)
Pt (0.500, 0.500, 0.500)
Bi (0.662, 0.502, 0.841)
Pt (0.000, 0.000, 0.500)
Bi (0.498, 0.159, 0.338)
Bi (0.841, 0.662, 0.502)
Bi (0.662, 0.821, 0.159)
Bi (0.338, 0.498, 0.159)
Bi (0.159, 0.338, 0.498)
Pt (0.000, 0.500, 0.000)
Bi (0.821, 0.159, 0.662)
Bi (0.841, 0.338, 0.179)
Bi (0.179, 0.841, 0.338)
Bi (0.159, 0.662, 0.821)
Sr (0.000, 0.000, 0.000)
Bi (0.338, 0.179, 0.841)

***

5.
Density functional theory data (PBE-GGA) for an optimized crystal structure of CuSiNi.

Values from the calculation:
As for the symmetry: P2_1/m, No. 11. The uncorrected formation energy is -251 meV/atom.

a = 3.699 Å, b = 3.556 Å, c = 5.605 Å
α = 90.00°, β = 100.98°, γ = 90.00°
Fractional coordinates of all 6 atoms:
Ni (0.248, 0.750, 0.001)
Cu (0.343, 0.250, 0.341)
Ni (0.752, 0.250, 0.999)
Si (0.174, 0.250, 0.728)
Si (0.826, 0.750, 0.272)
Cu (0.657, 0.750, 0.659)

***

6.
Density functional theory data (PBE-GGA) for an optimized crystal structure of PrY2Cu.

Values from the calculation:
As for the symmetry: P4/mmm, No. 123. As for the excess energy over the best structure of this formula in the dataset: 0 meV per atom. As for the energy of formation from the pure elements: -98.4 meV per atom.

a = 3.543 Å, b = 3.543 Å, c = 8.820 Å
α = 90.00°, β = 90.00°, γ = 90.00°
Fractional coordinates of all 4 atoms:
Pr (0.500, 0.500, 0.500)
Cu (0.500, 0.500, 0.000)
Y (0.000, 0.000, 0.191)
Y (0.000, 0.000, 0.809)

***

| no. | total moment (μB per formula unit) |
| --- | --- |
| 1 | 0.0 |
| 2 | 0.0 |
| 3 | 0.0 |
| 4 | 0.0 |
| 5 | 0.0 |
| 6 | 0.0 |